Y: optimized geometry, PBE.

Calculated values
Symmetry   I-43m (217)
Density of states at the Fermi level   31.5 states/eV per cell
E_form   149 kJ/mol of formula units

The structure in CIF format:
```
data_Y
_cell_length_a 10.004
_cell_length_b 10.004
_cell_length_c 10.004
_cell_angle_alpha 90.00
_cell_angle_beta 90.00
_cell_angle_gamma 90.00
_symmetry_space_group_name_H-M 'P 1'
_symmetry_Int_Tables_number 1
_symmetry_space_group_name_Hall 'P 1'
loop_
_atom_site_label
_atom_site_type_symbol
_atom_site_fract_x
_atom_site_fract_y
_atom_site_fract_z
Y1 Y 0.200 0.200 0.200
Y2 Y 0.200 0.800 0.800
Y3 Y 0.800 0.200 0.800
Y4 Y 0.800 0.800 0.200
Y5 Y 0.700 0.700 0.700
Y6 Y 0.700 0.300 0.300
Y7 Y 0.300 0.700 0.300
Y8 Y 0.300 0.300 0.700
Y9 Y 0.388 0.388 0.388
Y10 Y 0.388 0.612 0.612
Y11 Y 0.612 0.388 0.612
Y12 Y 0.612 0.612 0.388
Y13 Y 0.888 0.888 0.888
Y14 Y 0.888 0.112 0.112
Y15 Y 0.112 0.888 0.112
Y16 Y 0.112 0.112 0.888
```